The following is a PBE calculation of a geometry-optimized Y2InCl structure, from the Alexandria database.

Cell: 6.587 6.587 6.587 Å, 141.81 141.81 55.12°
Site moments in Bohr magnetons follow the coordinates.
Fractional positions:
Y 0.250 0.750 0.500  0.09
Y 0.000 0.000 0.000  0.10
In 0.750 0.250 0.500  -0.01
Cl 0.500 0.500 0.000  0.01

Properties
DFT total energy ... -4.87 eV per atom
Offset from the most stable computed form ... 451.7 meV/atom
Uncorrected formation energy ... -0.488 eV/atom
Size of the total moment ... 0.36 μB per formula unit